8
Lattice="7.6167 0.0000 0.0000 0.0000 7.6167 0.0000 3.8084 3.8084 3.1269" Properties=species:S:1:pos:R:3 comment="SrIr2Se | the Alexandria database | PBE-GGA | optimized geometry" e_form_raw_ev_per_atom=0.20 sg="I-42d (122)" dos_at_fermi_per_ev_cell=5.28 pbc="T T T"
Se 3.8084 7.6167 1.5634
Ir 4.9460 1.9042 0.7817
Ir 2.6707 5.7126 0.7817
Ir 5.7126 6.4791 2.3452
Sr 0.0000 0.0000 0.0000
Ir 9.5209 8.7544 2.3452
Sr 7.6167 3.8084 1.5634
Se 3.8084 3.8084 0.0000